Record 1
Material: AcSmCuAg
Method: DFT, GGA-PBE
State: optimized geometry

Lattice parameters (Å, degrees): 5.338 5.338 5.338 60.00 60.00 60.00
Fractional positions:
Ac 0.000 0.000 0.000
Sm 0.500 0.500 0.500
Cu 0.750 0.750 0.750
Ag 0.250 0.250 0.250

Values from the calculation:
As for the space group: F-43m (216). Its total moment is 0.0 μB per formula unit. Its formation energy from the elements is -151 meV per atom.

Record 2
Material: Tb2Tm2Pu
Method: DFT, GGA-PBE
State: optimized geometry

Lattice parameters (Å, degrees): 8.839 8.839 8.839 126.11 63.18 149.52
Fractional positions:
Tb 0.191 0.141 0.331
Tb 0.309 0.641 0.950
Tb 0.691 0.359 0.050
Tb 0.809 0.859 0.669
Tm 0.080 0.648 0.728
Tm 0.420 0.148 0.568
Tm 0.580 0.852 0.432
Tm 0.920 0.352 0.272
Pu 0.250 0.250 0.000
Pu 0.750 0.750 0.000

Values from the calculation:
As for the space group: Ibam (72). Its total moment is 0.0 μB per formula unit. Its formation energy from the elements is 363 meV per atom.

Record 3
Material: PaBe2Os
Method: DFT, GGA-PBE
State: optimized geometry

Lattice parameters (Å, degrees): 4.338 4.338 4.338 60.00 60.00 60.00
Fractional positions:
Pa 0.000 0.000 0.000
Be 0.250 0.250 0.250
Be 0.750 0.750 0.750
Os 0.500 0.500 0.500

Values from the calculation:
As for the space group: Fm-3m (225). Its total moment is 0.0 μB per formula unit. Its formation energy from the elements is -5 meV per atom.

Record 4
Material: MgReSi2
Method: DFT, GGA-PBE
State: optimized geometry

Lattice parameters (Å, degrees): 4.063 4.956 4.956 36.09 90.00 90.00
Fractional positions:
Mg 0.000 0.000 0.000
Re 0.500 0.690 0.690
Si 0.000 0.262 0.262
Si 0.500 0.406 0.406

Values from the calculation:
As for the space group: Amm2 (38). As for the formation energy from raw total energies: 0.054 eV per atom. Its total moment is 0.0 μB per formula unit.

Record 5
Material: MgOsPb2
Method: DFT, GGA-PBE
State: optimized geometry

Lattice parameters (Å, degrees): 4.865 3.367 5.631 90.00 110.36 90.00
Fractional positions:
Mg 0.000 0.000 0.000
Os 0.000 0.500 0.500
Pb 0.500 0.000 0.500
Pb 0.500 0.500 0.000

Values from the calculation:
As for the space group: P2/m (10). Its total moment is 0.0 μB per formula unit. Its formation energy from the elements is 685 meV per atom.

Record 6
Material: CoAs5
Method: DFT, GGA-PBE
State: optimized geometry

Lattice parameters (Å, degrees): 9.454 9.454 3.624 90.00 90.00 158.98
Fractional positions:
Co 0.000 0.000 0.000
As 0.204 0.796 0.500
As 0.398 0.602 0.000
As 0.500 0.500 0.500
As 0.602 0.398 0.000
As 0.796 0.204 0.500

Values from the calculation:
As for the space group: Cmmm (65). As for the energy above the most stable polymorph in this dataset: 172 meV per atom. Its total moment is 0.0 μB per formula unit. Its formation energy from the elements is 231 meV per atom.

Record 7
Material: GdHo2Pa
Method: DFT, GGA-PBE
State: optimized geometry

Lattice parameters (Å, degrees): 4.884 4.884 4.924 90.00 90.00 90.00
Fractional positions:
Gd 0.000 0.000 0.000
Ho 0.000 0.500 0.500
Ho 0.500 0.000 0.500
Pa 0.500 0.500 0.000

Values from the calculation:
As for the space group: P4/mmm (123). Its total moment is 6.8 μB per formula unit. Its formation energy from the elements is 214 meV per atom.

Record 8
Material: K2CoPt2
Method: DFT, GGA-PBE
State: optimized geometry

Lattice parameters (Å, degrees): 5.828 5.828 5.828 112.81 112.81 102.99
Fractional positions:
K 0.250 0.750 0.500
K 0.750 0.250 0.500
Co 0.000 0.000 0.000
Pt 0.322 0.322 0.000
Pt 0.678 0.678 0.000

Values from the calculation:
As for the space group: I4/mmm (139). As for the energy above the most stable polymorph in this dataset: 379 meV per atom. Its total moment is 3.2 μB per formula unit. Its formation energy from the elements is 554 meV per atom.

Repeat the second record exactly.
Material: Tb2Tm2Pu
Method: DFT, GGA-PBE
State: optimized geometry

Lattice parameters (Å, degrees): 8.839 8.839 8.839 126.11 63.18 149.52
Fractional positions:
Tb 0.191 0.141 0.331
Tb 0.309 0.641 0.950
Tb 0.691 0.359 0.050
Tb 0.809 0.859 0.669
Tm 0.080 0.648 0.728
Tm 0.420 0.148 0.568
Tm 0.580 0.852 0.432
Tm 0.920 0.352 0.272
Pu 0.250 0.250 0.000
Pu 0.750 0.750 0.000

Values from the calculation:
As for the space group: Ibam (72). Its total moment is 0.0 μB per formula unit. Its formation energy from the elements is 363 meV per atom.